Material: CaPm3Pb2
Method: DFT, PBE
State: optimized geometry

- Energy relative to the elements: -339 meV/atom
- Magnetic moment: 0.02 μB per formula unit
- SG: C2/m (12)
- Electronic total energy: -4.28 eV per atom

Cell: 4.7230 10.6677 9.8935 Å, 124.50 90.00 102.79°
With the nearest neighbours (Å) after each atom.
Positions (direct):
Ca1 0.8894 0.7787 0.8976  6 Pb 3.32-3.52, 1 Pm 3.64
Ca2 0.1106 0.2213 0.1024  6 Pb 3.32-3.52, 1 Pm 3.64
Pm1 0.3051 0.6101 0.4971  4 Pb 3.26-3.62, 4 Pm 3.31-3.50, 1 Ca 3.64
Pm2 0.9478 0.8956 0.5779  3 Pb 3.17-3.47, 3 Pm 3.31-3.50
Pm3 0.6476 0.2952 0.8123  4 Pb 3.27-3.33
Pm4 0.3524 0.7048 0.1877  4 Pb 3.27-3.33
Pm5 0.0522 0.1044 0.4221  3 Pb 3.17-3.47, 3 Pm 3.31-3.50
Pm6 0.6949 0.3899 0.5029  4 Pb 3.26-3.62, 4 Pm 3.31-3.50, 1 Ca 3.64
Pb1 0.4945 0.9889 0.8331  4 Pm 3.17-3.37, 1 Pb 3.17, 4 Ca 3.32-3.52
Pb2 0.5055 0.0111 0.1669  4 Pm 3.17-3.37, 1 Pb 3.17, 4 Ca 3.32-3.52
Pb3 0.7547 0.5094 0.2249  7 Pm 3.26-3.62, 2 Ca 3.44
Pb4 0.2453 0.4906 0.7751  7 Pm 3.26-3.62, 2 Ca 3.44